Here is a geometry-optimized Ac2Cu3HgPd12 structure from Alexandria. Energies are from PBE-GGA.

Summary:
The value obtained for the final energy is -4.59 eV/atom. As for the density of states at the Fermi level: 12.61 states/eV/f.u. The value obtained for the spin magnetization is 0.0 μB per formula unit. For the energy relative to the elements, the calculation gives 0.028 eV/atom.

a b c (Å): 8.027 8.027 8.027
angles (deg): 61.79 61.79 61.79
Positions (direct):
Ac: 0.113 0.113 0.113
Ac: 0.887 0.887 0.887
Cu: 0.000 0.500 0.500
Cu: 0.500 0.000 0.500
Cu: 0.500 0.500 0.000
Hg: 0.500 0.500 0.500
Pd: 0.100 0.642 0.642
Pd: 0.131 0.131 0.620
Pd: 0.131 0.620 0.131
Pd: 0.358 0.358 0.900
Pd: 0.358 0.900 0.358
Pd: 0.380 0.869 0.869
Pd: 0.620 0.131 0.131
Pd: 0.642 0.100 0.642
Pd: 0.642 0.642 0.100
Pd: 0.869 0.380 0.869
Pd: 0.869 0.869 0.380
Pd: 0.900 0.358 0.358

=====

Here is a geometry-optimized Ac3CuHg2Pd9 structure from Alexandria. Energies are from PBE-GGA.

Summary:
The value obtained for the final energy is -4.49 eV/atom. As for the density of states at the Fermi level: 6.47 states/eV/f.u. The value obtained for the spin magnetization is 0.0 μB per formula unit. For the energy relative to the elements, the calculation gives -0.238 eV/atom.

a b c (Å): 7.932 7.932 6.601
angles (deg): 90.00 90.00 120.00
Positions (direct):
Ac: 0.000 0.000 0.000
Ac: 0.333 0.667 0.678
Ac: 0.667 0.333 0.322
Cu: 0.000 0.000 0.500
Hg: 0.333 0.667 0.189
Hg: 0.667 0.333 0.811
Pd: 0.000 0.500 0.000
Pd: 0.158 0.317 0.345
Pd: 0.158 0.842 0.345
Pd: 0.317 0.158 0.655
Pd: 0.500 0.000 0.000
Pd: 0.500 0.500 0.000
Pd: 0.683 0.842 0.345
Pd: 0.842 0.158 0.655
Pd: 0.842 0.683 0.655

=====

- Among the records above, which one has the highest final energy?
  Ac3CuHg2Pd9